# Sc3Au5 | Alexandria | PBE-GGA | relaxed
# Density   11.80 g/cm³
# VASP energy   -0.3784 Ry/atom
# Size of the total moment   0.0 Bohr magnetons per cell
# Volume   19.69 Å³ per atom
data_Sc3Au5
_symmetry_space_group_name_H-M 'P 1'
_symmetry_Int_Tables_number 1
_symmetry_space_group_name_Hall 'P 1'
_cell_length_a 7.2949
_cell_length_b 7.2949
_cell_length_c 3.4177
_cell_angle_alpha 90.00
_cell_angle_beta 90.00
_cell_angle_gamma 120.00
loop_
_atom_site_label
_atom_site_type_symbol
_atom_site_fract_x
_atom_site_fract_y
_atom_site_fract_z
Sc1 Sc 0.0000 0.6074 0.0000
Sc2 Sc 0.3926 0.3926 0.0000
Sc3 Sc 0.6074 0.0000 0.0000
Au1 Au 0.0000 0.2304 0.5000
Au2 Au 0.2304 0.0000 0.5000
Au3 Au 0.3333 0.6667 0.5000
Au4 Au 0.6667 0.3333 0.5000
Au5 Au 0.7696 0.7696 0.5000